# 1
Material: LaCu2Rh
Method: DFT, PBE
State: optimized geometry

```
4
Lattice="9.350 -0.027 -0.016 8.882 2.919 -0.016 8.882 1.409 2.557" Properties=species:S:1:pos:R:3 pbc="T T T"
Cu 0.328 0.052 0.031
Cu 13.229 2.099 1.232
La 6.778 1.075 0.631
Rh 20.335 3.226 1.894
```

Computed properties:
Volume   17.7 Å³/atom
Total magnetization   0.32 μB per atom



# 2
Material: LaCu4Rh
Method: DFT, PBE
State: optimized geometry

```
6
Lattice="5.089 0.000 0.000 2.544 4.407 0.000 2.544 1.469 4.155" Properties=species:S:1:pos:R:3 pbc="T T T"
Cu 3.800 3.683 2.604
Cu 6.378 3.683 2.604
Cu 5.089 1.449 2.604
Cu 5.089 2.938 0.498
La 2.544 1.469 1.039
Rh 0.000 0.000 0.000
```

Computed properties:
Volume   15.5 Å³/atom
Total magnetization   0.00 μB per atom



# 3
Material: La2Cu2Rh
Method: DFT, PBE
State: optimized geometry

```
5
Lattice="5.570 0.000 0.000 0.000 5.570 0.000 2.785 2.785 3.720" Properties=species:S:1:pos:R:3 pbc="T T T"
Rh 0.000 0.000 0.000
Cu 2.785 2.785 1.138
Cu 5.570 5.570 2.583
La 5.570 2.785 1.860
La 2.785 5.570 1.860
```

Computed properties:
Volume   23.1 Å³/atom
Offset from the most stable computed form   244 meV per atom
Total magnetization   0.00 μB per atom



# 4
Material: La2Cu2Rh
Method: DFT, PBE
State: optimized geometry

```
10
Lattice="7.257 0.000 0.000 0.000 7.257 0.000 0.000 0.000 4.106" Properties=species:S:1:pos:R:3 pbc="T T T"
Rh 0.000 0.000 0.000
Rh 3.629 3.629 0.000
Cu 2.761 6.390 0.000
Cu 6.390 4.496 0.000
Cu 4.496 0.868 0.000
Cu 0.868 2.761 0.000
La 1.350 4.979 2.053
La 4.979 5.907 2.053
La 5.907 2.279 2.053
La 2.279 1.350 2.053
```

Computed properties:
Volume   21.6 Å³/atom
Offset from the most stable computed form   142 meV per atom
Total magnetization   0.00 μB per atom



# 5
Material: La4CuRh
Method: DFT, PBE
State: optimized geometry

```
6
Lattice="3.135 -4.198 -3.344 -0.121 -5.996 1.636 -3.078 -4.114 -3.498" Properties=species:S:1:pos:R:3 pbc="T T T"
La 1.532 -7.462 -3.617
La -1.552 -7.421 -3.693
La -0.084 -8.354 -1.146
La -0.024 -5.379 -1.957
Cu 0.000 0.000 0.000
Rh -0.048 -10.731 -3.905
```

Computed properties:
Volume   28.3 Å³/atom
Offset from the most stable computed form   967 meV per atom
Total magnetization   0.00 μB per atom



# 6
Material: La2Cu2Rh
Method: DFT, PBE
State: optimized geometry

```
10
Lattice="-2.813 -2.873 -0.722 1.662 -5.091 2.224 -6.230 1.060 8.495" Properties=species:S:1:pos:R:3 pbc="T T T"
La -3.815 -2.849 3.089
La -7.591 -3.155 7.459
La -3.565 -4.054 6.907
La 0.210 -3.748 2.538
Cu -3.170 -1.218 5.639
Cu -5.887 -5.226 9.062
Cu -4.211 -5.685 4.358
Cu -1.493 -1.677 0.935
Rh -5.715 -1.667 5.787
Rh -1.665 -5.236 4.210
```

Computed properties:
Volume   23.0 Å³/atom
Offset from the most stable computed form   0 meV per atom
Total magnetization   0.00 μB per atom



# 7
Material: La2CuRh2
Method: DFT, PBE
State: optimized geometry

```
10
Lattice="-4.503 -5.900 0.251 0.492 -0.690 -7.378 3.172 -2.402 0.436" Properties=species:S:1:pos:R:3 pbc="T T T"
Rh -1.206 -2.731 -6.269
Rh -3.567 -5.527 -4.490
Rh -2.805 -3.860 -0.858
Rh -0.443 -1.064 -2.636
Cu 0.000 0.000 0.000
Cu -2.005 -3.295 -3.563
La 1.137 -2.688 -4.706
La -1.039 -5.744 -5.712
La -1.976 -6.304 -1.984
La 0.200 -3.248 -0.978
```

Computed properties:
Volume   22.1 Å³/atom
Offset from the most stable computed form   72 meV per atom
Total magnetization   0.00 μB per atom



# 8
Material: LaCu2Rh
Method: DFT, PBE
State: optimized geometry

```
8
Lattice="4.247 0.000 0.000 0.000 4.247 0.000 2.123 2.123 9.146" Properties=species:S:1:pos:R:3 pbc="T T T"
Rh 2.123 2.123 0.000
Rh 2.123 4.247 4.573
Cu 2.540 1.062 2.286
Cu 1.707 3.185 2.286
Cu 3.185 3.830 6.859
Cu 5.308 4.663 6.859
La 0.000 0.000 0.000
La 4.247 2.123 4.573
```

Computed properties:
Volume   20.6 Å³/atom
Total magnetization   0.00 μB per atom



| no. | final energy (eV for the cell shown) |
| --- | --- |
| 1 | -18.7 |
| 2 | -29.8 |
| 3 | -26.2 |
| 4 | -53.3 |
| 5 | -27.3 |
| 6 | -54.8 |
| 7 | -62.5 |
| 8 | -42.2 |